[1]
A geometry-optimized ZnSiHg2 structure, computed with PBE.

E_tot ... -6.3 eV/cell
Uncorrected formation energy ... 0.257 eV per atom
Space group ... Pm

Cell lengths 4.5173, 4.8650, 5.0238 Å; angles 58.57, 90.00, 90.00 degrees
Fractional positions:
Si  0.0000  0.5742  0.5619
Hg  0.5000  0.3164  0.3089
Zn  0.5000  0.6601  0.6774
Hg  0.0000  0.9493  0.9518

[2]
A geometry-optimized Ge2PbAu structure, computed with PBE.

Formation enthalpy at 0 K ... 0.182 eV per atom
E_tot ... -15.5 eV/cell
Space group ... R-3m

Cell lengths 3.3975, 3.3975, 9.9705 Å; angles 80.19, 80.19, 60.00 degrees
Fractional positions:
Ge  0.1043  0.1043  0.6870
Pb  0.0000  0.0000  0.0000
Ge  0.8957  0.8957  0.3130
Au  0.5000  0.5000  0.5000

[3]
A geometry-optimized YScCuOs structure, computed with PBE.

Formation enthalpy at 0 K ... -0.281 eV per atom
E_tot ... -29.2 eV/cell
Space group ... F-43m

Cell lengths 4.7265, 4.7265, 4.7265 Å; angles 60.00, 60.00, 60.00 degrees
Fractional positions:
Sc  0.2500  0.2500  0.2500
Y  0.7500  0.7500  0.7500
Os  0.5000  0.5000  0.5000
Cu  0.0000  0.0000  0.0000

[4]
A geometry-optimized Nd2YUN4 structure, computed with PBE.

E_tot ... -72.5 eV/cell
Uncorrected formation energy ... -1.494 eV per atom
Space group ... P2/m

Cell lengths 3.5435, 6.0516, 6.1679 Å; angles 108.95, 90.00, 90.00 degrees
Fractional positions:
Nd  0.0000  0.5000  0.5000
N  0.5000  0.7357  0.7839
Y  0.0000  0.0000  0.0000
N  0.0000  0.2766  0.7875
U  0.5000  0.5000  0.0000
N  0.5000  0.2643  0.2161
Nd  0.5000  0.0000  0.5000
N  0.0000  0.7234  0.2125

[5]
A geometry-optimized PmEr3Hg4 structure, computed with PBE.

Formation enthalpy at 0 K ... -0.475 eV per atom
E_tot ... -46.9 eV/cell
Space group ... P4/mmm

Cell lengths 5.2241, 7.5610, 10.4455 Å; angles 90.00, 90.00, 90.00 degrees
Fractional positions:
Er  0.0000  0.0000  0.0000
Er  0.0000  0.0000  0.5000
Er  0.5003  0.5000  0.7500
Hg  0.0004  0.7602  0.7500
Er  0.4997  0.5000  0.2500
Hg  0.0004  0.2398  0.7500
Hg  0.5000  0.7601  0.5000
Pm  0.0000  0.5000  0.0000
Hg  0.5000  0.2399  0.0000
Hg  0.5000  0.2399  0.5000
Hg  0.9996  0.7602  0.2500
Er  0.5003  0.0000  0.7500
Hg  0.9996  0.2398  0.2500
Er  0.4997  0.0000  0.2500
Pm  0.0000  0.5000  0.5000
Hg  0.5000  0.7601  0.0000

[6]
A geometry-optimized CdCu3 structure, computed with PBE.

Formation enthalpy at 0 K ... 0.229 eV per atom
E_tot ... -24.6 eV/cell
Space group ... Cmcm

Cell lengths 5.6058, 5.6058, 4.1075 Å; angles 90.00, 90.00, 96.09 degrees
Fractional positions:
Cd  0.6120  0.3880  0.2500
Cu  0.0437  0.6331  0.2500
Cu  0.6331  0.0437  0.7500
Cu  0.9241  0.0759  0.2500
Cu  0.9563  0.3669  0.7500
Cu  0.3669  0.9563  0.2500
Cd  0.3880  0.6120  0.7500
Cu  0.0759  0.9241  0.7500

[7]
A geometry-optimized BaIn3Br12 structure, computed with PBE.

E_tot ... -90.8 eV/cell
Uncorrected formation energy ... -0.950 eV per atom
Space group ... R3c

Cell lengths 11.7438, 11.7438, 14.3123 Å; angles 65.78, 65.78, 60.00 degrees
Fractional positions:
Br  0.0916  0.4470  0.9895
Br  0.4720  0.0916  0.9895
Br  0.3759  0.7360  0.1449
Br  0.8668  0.4000  0.8270
Br  0.6094  0.5937  0.5330
Br  0.3668  0.4061  0.3270
In  0.1906  0.4587  0.4995
Br  0.7638  0.0937  0.0330
Br  0.4000  0.9061  0.8270
Br  0.9720  0.9470  0.4895
Br  0.7432  0.3759  0.1449
Br  0.5916  0.9720  0.4895
Br  0.1094  0.7638  0.0330
Br  0.9470  0.5916  0.4895
Br  0.9061  0.8668  0.8270
In  0.3512  0.9587  0.9995
Br  0.5937  0.2638  0.5330
Br  0.7360  0.7432  0.1449
In  0.4587  0.8512  0.4995
Br  0.2360  0.8759  0.6449
In  0.8512  0.1906  0.4995
Br  0.0937  0.1094  0.0330
In  0.9587  0.6906  0.9995
Br  0.4470  0.4720  0.9895
In  0.6906  0.3512  0.9995
Ba  0.5565  0.5565  0.3304
Ba  0.0565  0.0565  0.8304
Br  0.8759  0.2432  0.6449
Br  0.2432  0.2360  0.6449
Br  0.4061  0.9000  0.3270
Br  0.2638  0.6094  0.5330
Br  0.9000  0.3668  0.3270

[8]
A geometry-optimized K2Ir3S6 structure, computed with PBE.

E_tot ... -60.4 eV/cell
Uncorrected formation energy ... -0.626 eV per atom
Space group ... C2/m

Cell lengths 6.3450, 6.3440, 7.3053 Å; angles 81.70, 73.21, 59.99 degrees
Fractional positions:
K  0.8332  0.3335  0.5000
K  0.1668  0.6665  0.5000
S  0.7198  0.0000  0.8360
Ir  0.3326  0.3349  0.0000
Ir  0.0000  0.0000  0.0000
S  0.9444  0.6681  0.1631
S  0.2802  0.0000  0.1640
S  0.0556  0.3319  0.8369
S  0.3876  0.6681  0.8369
S  0.6124  0.3319  0.1631
Ir  0.6674  0.6651  0.0000

[9]
A geometry-optimized TmZrRh structure, computed with PBE.

Formation enthalpy at 0 K ... -0.444 eV per atom
E_tot ... -43.4 eV/cell
Space group ... R-3m

Cell lengths 4.6636, 4.6636, 7.7298 Å; angles 72.44, 72.44, 60.00 degrees
Fractional positions:
Zr  0.7928  0.7928  0.6217
Tm  0.6268  0.6268  0.1196
Rh  0.0847  0.0847  0.7458
Rh  0.9153  0.9153  0.2542
Tm  0.3732  0.3732  0.8804
Zr  0.2072  0.2072  0.3783

[10]
A geometry-optimized NdMnC structure, computed with PBE.

Formation enthalpy at 0 K ... 0.157 eV per atom
E_tot ... -22.7 eV/cell
Space group ... P-6m2

Cell lengths 4.4795, 3.3991, 3.3991 Å; angles 120.00, 90.00, 90.00 degrees
Fractional positions:
Mn  0.1667  0.3333  0.6667
C  0.1667  0.0000  0.0000
Nd  0.6665  0.6667  0.3333